KCu2H2Se2O10 | PBE | relaxed

abc: 7.030 7.030 7.946
angles: 115.77 115.77 56.10
Element x y z (fractional)
K: 0.000 0.000 0.000
Cu: 0.000 0.500 0.500
Cu: 0.500 0.000 0.500
H: 0.305 0.305 0.110
H: 0.695 0.695 0.890
Se: 0.250 0.250 0.792
Se: 0.750 0.750 0.208
O: 0.078 0.542 0.768
O: 0.117 0.117 0.788
O: 0.182 0.182 0.507
O: 0.357 0.357 0.050
O: 0.458 0.922 0.232
O: 0.542 0.078 0.768
O: 0.643 0.643 0.950
O: 0.818 0.818 0.493
O: 0.883 0.883 0.212
O: 0.922 0.458 0.232

## Properties
For the total energy, the calculation gives -0.1850 Ha/atom.

---

K2CuH12Se2O14 | PBE | relaxed

abc: 6.468 12.461 9.202
angles: 90.00 101.95 90.00
Element x y z (fractional)
K: 0.152 0.163 0.348
K: 0.152 0.337 0.848
K: 0.848 0.663 0.152
K: 0.848 0.837 0.652
Cu: 0.500 0.000 0.000
Cu: 0.500 0.500 0.500
H: 0.164 0.092 0.772
H: 0.164 0.408 0.272
H: 0.190 0.635 0.484
H: 0.190 0.865 0.984
H: 0.203 0.558 0.625
H: 0.203 0.942 0.125
H: 0.375 0.132 0.729
H: 0.375 0.368 0.229
H: 0.420 0.600 0.246
H: 0.420 0.900 0.746
H: 0.492 0.186 0.125
H: 0.492 0.314 0.625
H: 0.508 0.686 0.375
H: 0.508 0.814 0.875
H: 0.580 0.100 0.254
H: 0.580 0.400 0.754
H: 0.625 0.632 0.771
H: 0.625 0.868 0.271
H: 0.797 0.058 0.875
H: 0.797 0.442 0.375
H: 0.810 0.135 0.016
H: 0.810 0.365 0.516
H: 0.836 0.592 0.728
H: 0.836 0.908 0.228
Se: 0.242 0.642 0.929
Se: 0.242 0.858 0.429
Se: 0.758 0.142 0.571
Se: 0.758 0.358 0.071
O: 0.085 0.749 0.418
O: 0.085 0.751 0.918
O: 0.138 0.558 0.791
O: 0.138 0.942 0.291
O: 0.229 0.560 0.521
O: 0.229 0.940 0.021
O: 0.247 0.580 0.091
O: 0.247 0.920 0.591
O: 0.302 0.125 0.813
O: 0.302 0.375 0.313
O: 0.471 0.111 0.159
O: 0.471 0.389 0.659
O: 0.487 0.681 0.915
O: 0.487 0.819 0.415
O: 0.513 0.181 0.585
O: 0.513 0.319 0.085
O: 0.529 0.611 0.341
O: 0.529 0.889 0.841
O: 0.698 0.625 0.687
O: 0.698 0.875 0.187
O: 0.753 0.080 0.409
O: 0.753 0.420 0.909
O: 0.771 0.060 0.979
O: 0.771 0.440 0.479
O: 0.862 0.058 0.709
O: 0.862 0.442 0.209
O: 0.915 0.249 0.082
O: 0.915 0.251 0.582

## Properties
For the total energy, the calculation gives -0.1844 Ha/atom.

---

K2CuH6Pd | PBE | relaxed

abc: 5.789 5.789 5.789
angles: 127.58 127.58 77.30
Element x y z (fractional)
K: 0.250 0.750 0.500
K: 0.750 0.250 0.500
Cu: 0.000 0.000 0.000
H: 0.245 0.245 0.490
H: 0.245 0.755 0.000
H: 0.314 0.314 0.000
H: 0.686 0.686 0.000
H: 0.755 0.245 0.000
H: 0.755 0.755 0.510
Pd: 0.500 0.500 0.000

## Properties
For the total energy, the calculation gives -0.1205 Ha/atom.

---

KCuH8Pt2 | PBE | relaxed

abc: 7.086 7.086 7.086
angles: 40.01 40.01 40.01
Element x y z (fractional)
K: 0.000 0.000 0.000
Cu: 0.500 0.500 0.500
H: 0.118 0.833 0.420
H: 0.167 0.580 0.882
H: 0.283 0.283 0.283
H: 0.420 0.118 0.833
H: 0.580 0.882 0.167
H: 0.717 0.717 0.717
H: 0.833 0.420 0.118
H: 0.882 0.167 0.580
Pt: 0.198 0.198 0.198
Pt: 0.802 0.802 0.802

## Properties
For the total energy, the calculation gives -0.1358 Ha/atom.

---

no.,volume (Å³/atom),total magnetization (μB per cell)
1,16.69,1.055
2,11.70,2.003
3,11.82,0.000
4,11.05,0.000